Record 1
SrHgTeN2 | PBE-GGA | relaxed

As for the total DFT energy (no corrections): -0.2446 Ry per atom. The polymorph energy (0 for the lowest one) is 122 meV per atom. The crystal system is tetragonal.

It has space group P4/mmm (No. 123), with a = 4.593 Å, b = 4.593 Å, c = 5.795 Å, α = 90.00°, β = 90.00° and γ = 90.00°. The asymmetric unit holds Sr at (0.000, 0.000, 0.000), Hg at (0.500, 0.500, 0.500), Te at (0.500, 0.500, 0.000) and N at (0.000, 0.500, 0.500).

---

Record 2
Li6LaMg2 | PBE-GGA | relaxed

As for the total DFT energy (no corrections): -0.1362 Ry per atom. The crystal system is cubic. As for the formation energy: 0.32 eV/atom.

It has space group Fm-3m (No. 225), with a = 9.434 Å, b = 9.434 Å, c = 9.434 Å, α = 90.00°, β = 90.00° and γ = 90.00°. The asymmetric unit holds Li at (0.000, 0.000, 0.196), La at (0.000, 0.000, 0.500) and Mg at (0.250, 0.250, 0.250).

---

Record 3
CoTeS2 | PBE-GGA | relaxed

As for the total DFT energy (no corrections): -0.3352 Ry per atom. The crystal system is tetragonal.

It has space group I-42d (No. 122), with a = 6.184 Å, b = 6.184 Å, c = 8.665 Å, α = 90.00°, β = 90.00° and γ = 90.00°. The asymmetric unit holds Co at (0.000, 0.000, 0.000), Te at (0.000, 0.000, 0.500) and S at (0.158, 0.250, 0.125).

---

Record 4
AlCo2As | PBE-GGA | relaxed

As for the total DFT energy (no corrections): -0.4234 Ry per atom. The polymorph energy (0 for the lowest one) is 140 meV per atom. The crystal system is trigonal. As for the formation energy: -0.11 eV/atom.

It has space group R-3m (No. 166, hexagonal axes), with a = 2.8022 Å, b = 2.8022 Å, c = 22.4806 Å, α = 90.00°, β = 90.00° and γ = 120.00°. The asymmetric unit holds Al at (0.0000, 0.0000, 0.0000), Co at (0.0000, 0.0000, 0.2472) and As at (0.0000, 0.0000, 0.5000).

---

Record 5
CdSe2S | PBE-GGA | relaxed

As for the total DFT energy (no corrections): -0.1942 Ry per atom. The polymorph energy (0 for the lowest one) is 288 meV per atom. The crystal system is trigonal.

It has space group R-3m (No. 166, hexagonal axes), with a = 3.5494 Å, b = 3.5494 Å, c = 27.6637 Å, α = 90.00°, β = 90.00° and γ = 120.00°. The asymmetric unit holds Cd at (0.0000, 0.0000, 0.0000), Se at (0.0000, 0.0000, 0.1101) and S at (0.0000, 0.0000, 0.5000).

---

Record 6
SiPPdCl2 | PBE-GGA | relaxed

As for the total DFT energy (no corrections): -0.2542 Ry per atom. The polymorph energy (0 for the lowest one) is 75 meV per atom. The crystal system is tetragonal.

It has space group P4/mmm (No. 123), with a = 4.768 Å, b = 4.768 Å, c = 4.827 Å, α = 90.00°, β = 90.00° and γ = 90.00°. The asymmetric unit holds Si at (0.000, 0.000, 0.000), P at (0.500, 0.500, 0.000), Pd at (0.500, 0.500, 0.500) and Cl at (0.000, 0.500, 0.500).

---

Record 7
CeDy3H | PBE-GGA | relaxed

As for the total DFT energy (no corrections): -0.3482 Ry per atom. The crystal system is cubic.

It has space group Pm-3m (No. 221), with a = 4.969 Å, b = 4.969 Å, c = 4.969 Å, α = 90.00°, β = 90.00° and γ = 90.00°. The asymmetric unit holds Ce at (0.000, 0.000, 0.000), Dy at (0.000, 0.500, 0.500) and H at (0.500, 0.500, 0.500).

---

Record 8
PuPd14Pb | PBE-GGA | relaxed

As for the total DFT energy (no corrections): -0.4315 Ry per atom. The crystal system is tetragonal. As for the formation energy: -0.20 eV/atom.

It has space group P4/mmm (No. 123), with a = 5.799 Å, b = 5.799 Å, c = 7.827 Å, α = 90.00°, β = 90.00° and γ = 90.00°. The asymmetric unit holds Pu at (0.000, 0.000, 0.000), Pd at (0.000, 0.000, 0.500), Pd at (0.000, 0.500, 0.000), Pd at (0.000, 0.500, 0.500), Pd at (0.249, 0.249, 0.256), Pd at (0.500, 0.500, 0.500) and Pb at (0.500, 0.500, 0.000).

---

Record 9
TbErO3 | PBE-GGA | relaxed

As for the total DFT energy (no corrections): -0.6032 Ry per atom. The crystal system is hexagonal.

It has space group P-6m2 (No. 187), with a = 5.9496 Å, b = 5.9496 Å, c = 3.0466 Å, α = 90.00°, β = 90.00° and γ = 120.00°. The asymmetric unit holds Tb at (0.0000, 0.0000, 0.0000), Er at (0.3333, 0.6667, 0.0000) and O at (0.1686, 0.3372, 0.5000).

---

Record 10
Pm12Y5Al2 | PBE-GGA | relaxed

As for the total DFT energy (no corrections): -0.3707 Ry per atom. The crystal system is monoclinic. As for the formation energy: 0.05 eV/atom.

It has space group C2/m (No. 12), with a = 17.910 Å, b = 8.074 Å, c = 8.990 Å, α = 90.00°, β = 108.48° and γ = 90.00°. The asymmetric unit holds Pm at (0.020, 0.000, 0.193), Pm at (0.050, 0.500, 0.668), Pm at (0.138, 0.301, 0.367), Pm at (0.153, 0.267, 0.970), Y at (0.000, 0.500, 0.000), Y at (0.184, 0.000, 0.668), Y at (0.249, 0.500, 0.720) and Al at (0.000, 0.161, 0.500).

---

Record 11
LiW4Se | PBE-GGA | relaxed

As for the total DFT energy (no corrections): -0.6366 Ry per atom. The crystal system is cubic.

It has space group F-43m (No. 216), with a = 7.564 Å, b = 7.564 Å, c = 7.564 Å, α = 90.00°, β = 90.00° and γ = 90.00°. The asymmetric unit holds Li at (0.000, 0.000, 0.000), W at (0.127, 0.127, 0.373) and Se at (0.250, 0.250, 0.750).

---

Record 12
Pm2SbMo | PBE-GGA | relaxed

As for the total DFT energy (no corrections): -0.4567 Ry per atom. The polymorph energy (0 for the lowest one) is 0 meV per atom. The crystal system is tetragonal.

It has space group P4/mmm (No. 123), with a = 4.949 Å, b = 4.949 Å, c = 4.097 Å, α = 90.00°, β = 90.00° and γ = 90.00°. The asymmetric unit holds Pm at (0.000, 0.500, 0.000), Sb at (0.000, 0.000, 0.500) and Mo at (0.500, 0.500, 0.500).